(1)
Density functional theory data (PBE) for a relaxed structure of NaLiTlHg.

abc: 3.393 3.393 8.056
angles: 90.00 90.00 90.00
Element x y z (fractional)
Na  0.000  0.000  0.000
Li  0.000  0.000  0.470
Tl  0.500  0.500  0.701
Hg  0.500  0.500  0.276

Summary:
The calculation puts the volume at 92.7 Å³ per cell. The value obtained for the theoretical density is 7.79 g/cm³. For the energy of formation, the calculation gives -233 meV/atom. For the electronic total energy, the calculation gives -1.708 eV per atom. As for the space-group type: P4mm. The energy above the lowest structure with this stoichiometry comes out at 0 meV per atom.



(2)
Density functional theory data (PBE) for a relaxed structure of Bi5B2O12.

abc: 6.759 6.759 7.333
angles: 108.16 108.16 54.97
Element x y z (fractional)
Bi  0.000  0.000  0.000
Bi  0.320  0.320  0.670
Bi  0.328  0.328  0.185
Bi  0.672  0.672  0.815
Bi  0.680  0.680  0.330
B  0.164  0.836  0.500
B  0.836  0.164  0.500
O  0.005  0.005  0.656
O  0.058  0.594  0.897
O  0.168  0.606  0.448
O  0.394  0.832  0.552
O  0.406  0.942  0.103
O  0.495  0.495  0.161
O  0.505  0.505  0.839
O  0.594  0.058  0.897
O  0.606  0.168  0.448
O  0.832  0.394  0.552
O  0.942  0.406  0.103
O  0.995  0.995  0.344

Summary:
The calculation puts the volume at 256.8 Å³ per cell. The value obtained for the theoretical density is 8.14 g/cm³. For the electronic total energy, the calculation gives -6.158 eV per atom. As for the space-group type: C2/m.



(3)
Density functional theory data (PBE) for a relaxed structure of SiSbI2N.

abc: 5.990 5.990 3.382
angles: 90.00 90.00 90.00
Element x y z (fractional)
Si  0.000  0.000  0.000
Sb  0.500  0.500  0.500
I  0.000  0.500  0.000
I  0.500  0.000  0.000
N  0.000  0.000  0.500

Summary:
The calculation puts the volume at 121.3 Å³ per cell. The value obtained for the theoretical density is 5.72 g/cm³. For the electronic total energy, the calculation gives -3.803 eV per atom. As for the space-group type: P4/mmm. The energy above the lowest structure with this stoichiometry comes out at 0 meV per atom.



(4)
Density functional theory data (PBE) for a relaxed structure of NbInNi2Pt.

abc: 4.502 4.502 5.155
angles: 90.00 90.00 90.00
Element x y z (fractional)
Nb  0.000  0.000  0.000
In  0.000  0.000  0.500
Ni  0.000  0.500  0.500
Ni  0.500  0.000  0.500
Pt  0.500  0.500  0.000

Summary:
The calculation puts the volume at 104.5 Å³ per cell. The value obtained for the theoretical density is 8.27 g/cm³. For the energy of formation, the calculation gives 1512 meV/atom. For the electronic total energy, the calculation gives -4.571 eV per atom. As for the space-group type: P4/mmm.



(5)
Density functional theory data (PBE) for a relaxed structure of CeSc3O.

abc: 4.611 4.611 4.611
angles: 90.00 90.00 90.00
Element x y z (fractional)
Ce  0.000  0.000  0.000
Sc  0.000  0.500  0.500
Sc  0.500  0.000  0.500
Sc  0.500  0.500  0.000
O  0.500  0.500  0.500

Summary:
The calculation puts the volume at 98.0 Å³ per cell. The value obtained for the theoretical density is 4.93 g/cm³. For the electronic total energy, the calculation gives -6.928 eV per atom. As for the space-group type: Pm-3m.



(6)
Density functional theory data (PBE) for a relaxed structure of La4Tb3Er8.

abc: 12.554 12.554 12.554
angles: 32.25 32.25 32.25
Element x y z (fractional)
La  0.000  0.000  0.000
La  0.163  0.163  0.163
La  0.500  0.500  0.500
La  0.837  0.837  0.837
Tb  0.000  0.500  0.500
Tb  0.500  0.000  0.500
Tb  0.500  0.500  0.000
Er  0.249  0.249  0.746
Er  0.249  0.746  0.249
Er  0.254  0.751  0.751
Er  0.256  0.256  0.256
Er  0.744  0.744  0.744
Er  0.746  0.249  0.249
Er  0.751  0.254  0.751
Er  0.751  0.751  0.254

Summary:
The calculation puts the volume at 500.7 Å³ per cell. The value obtained for the theoretical density is 7.86 g/cm³. For the energy of formation, the calculation gives 114 meV/atom. For the electronic total energy, the calculation gives -4.560 eV per atom. As for the space-group type: R-3m.



(7)
Density functional theory data (PBE) for a relaxed structure of LaOsI2.

abc: 5.394 5.394 5.394
angles: 60.00 60.00 60.00
Element x y z (fractional)
La  0.000  0.000  0.000
Os  0.500  0.500  0.500
I  0.250  0.250  0.250
I  0.750  0.750  0.750

Summary:
The calculation puts the volume at 111.0 Å³ per cell. The value obtained for the theoretical density is 8.72 g/cm³. For the electronic total energy, the calculation gives -4.411 eV per atom. As for the space-group type: Fm-3m. The energy above the lowest structure with this stoichiometry comes out at 68 meV per atom.



(8)
Density functional theory data (PBE) for a relaxed structure of ReNiRu4.

abc: 4.994 4.994 4.994
angles: 60.00 60.00 60.00
Element x y z (fractional)
Re  0.000  0.000  0.000
Ni  0.250  0.250  0.250
Ru  0.126  0.625  0.625
Ru  0.625  0.126  0.625
Ru  0.625  0.625  0.126
Ru  0.625  0.625  0.625

Summary:
The calculation puts the volume at 88.1 Å³ per cell. The value obtained for the theoretical density is 12.24 g/cm³. For the energy of formation, the calculation gives 617 meV/atom. For the electronic total energy, the calculation gives -8.605 eV per atom. As for the space-group type: F-43m.